{"formula": "Tl6Cd", "functional": "PBE", "state": "relaxed", "e_form_mev_per_atom": 23, "space_group": "No. 166", "cell": [[5.273, 0.000, 1.810], [2.326, 4.732, 1.810], [0.055, 0.034, 8.425]], "species": ["Tl", "Tl", "Tl", "Tl", "Tl", "Tl", "Cd"], "frac_coords": [[0.713, 0.713, 0.862], [0.430, 0.430, 0.711], [0.141, 0.141, 0.576], [0.859, 0.859, 0.424], [0.570, 0.570, 0.289], [0.287, 0.287, 0.138], [0.000, 0.000, 0.000]]}

***

{"formula": "TlCd", "functional": "PBE", "state": "relaxed", "e_form_mev_per_atom": 58, "space_group": "No. 57", "cell": [[-0.220, 0.094, 6.307], [-7.626, -4.469, -0.200], [6.067, -10.369, 0.366]], "species": ["Cd", "Cd", "Cd", "Cd", "Cd", "Cd", "Cd", "Cd", "Cd", "Cd", "Cd", "Cd", "Tl", "Tl", "Tl", "Tl", "Tl", "Tl", "Tl", "Tl", "Tl", "Tl", "Tl", "Tl"], "frac_coords": [[0.250, 0.057, 0.111], [0.750, 0.943, 0.889], [0.250, 0.557, 0.889], [0.750, 0.443, 0.111], [0.250, 0.546, 0.455], [0.750, 0.454, 0.545], [0.250, 0.046, 0.545], [0.750, 0.954, 0.455], [0.000, 0.750, 0.053], [0.500, 0.250, 0.947], [0.000, 0.250, 0.947], [0.500, 0.750, 0.053], [0.250, 0.462, 0.167], [0.750, 0.538, 0.833], [0.250, 0.962, 0.833], [0.750, 0.038, 0.167], [0.250, 0.845, 0.317], [0.750, 0.155, 0.683], [0.250, 0.345, 0.683], [0.750, 0.655, 0.317], [0.000, 0.750, 0.638], [0.500, 0.250, 0.362], [0.000, 0.250, 0.362], [0.500, 0.750, 0.638]]}

***

{"formula": "TlCd", "functional": "PBE", "state": "relaxed", "e_form_mev_per_atom": 36, "space_group": "No. 12", "cell": [[-2.900, -0.309, -5.396], [-6.694, -2.628, -0.350], [4.952, 4.754, 2.173]], "species": ["Tl", "Tl", "Cd", "Cd"], "frac_coords": [[0.568, 0.514, 0.053], [0.349, 0.736, 0.613], [0.017, 0.981, 0.036], [0.899, 0.269, 0.631]]}

***

{"formula": "TlCd4", "functional": "PBE", "state": "relaxed", "e_form_mev_per_atom": 55, "space_group": "No. 139", "cell": [[-4.279, 4.047, 4.911], [-5.336, -2.001, 5.131], [6.984, -1.326, -2.875]], "species": ["Cd", "Cd", "Cd", "Cd", "Tl"], "frac_coords": [[0.250, 0.750, 0.500], [0.750, 0.250, 0.500], [0.601, 0.601, 0.000], [0.399, 0.399, 0.000], [0.000, 0.000, 0.000]]}

***

{"formula": "Tl4Cd5", "functional": "PBE", "state": "relaxed", "e_form_mev_per_atom": 78, "space_group": "No. 193", "cell": [[9.469, 0.000, 0.000], [-4.735, 8.201, 0.000], [0.000, 0.000, 6.365]], "species": ["Cd", "Cd", "Cd", "Cd", "Cd", "Cd", "Cd", "Cd", "Cd", "Cd", "Tl", "Tl", "Tl", "Tl", "Tl", "Tl", "Tl", "Tl"], "frac_coords": [[0.000, 0.672, 0.250], [0.328, 0.328, 0.250], [0.672, 0.000, 0.250], [0.000, 0.328, 0.750], [0.672, 0.672, 0.750], [0.328, 0.000, 0.750], [0.667, 0.333, 0.000], [0.333, 0.667, 0.500], [0.333, 0.667, 0.000], [0.667, 0.333, 0.500], [0.000, 0.000, 0.000], [0.000, 0.000, 0.500], [0.000, 0.347, 0.250], [0.653, 0.653, 0.250], [0.347, 0.000, 0.250], [0.000, 0.653, 0.750], [0.347, 0.347, 0.750], [0.653, 0.000, 0.750]]}

***

{"formula": "Tl2Cd17", "functional": "PBE", "state": "relaxed", "e_form_mev_per_atom": 31, "space_group": "No. 166", "cell": [[7.812, -0.084, -0.074], [1.024, 7.745, -0.074], [1.024, 0.888, 7.694]], "species": ["Tl", "Tl", "Cd", "Cd", "Cd", "Cd", "Cd", "Cd", "Cd", "Cd", "Cd", "Cd", "Cd", "Cd", "Cd", "Cd", "Cd", "Cd", "Cd"], "frac_coords": [[0.338, 0.338, 0.338], [0.662, 0.662, 0.662], [0.643, 0.643, 0.158], [0.158, 0.643, 0.643], [0.896, 0.896, 0.896], [0.104, 0.104, 0.104], [0.000, 0.000, 0.500], [0.000, 0.500, 0.000], [0.500, 0.000, 0.000], [0.299, 0.701, 0.000], [0.701, 0.000, 0.299], [0.000, 0.299, 0.701], [0.701, 0.299, 0.000], [0.299, 0.000, 0.701], [0.000, 0.701, 0.299], [0.842, 0.357, 0.357], [0.357, 0.357, 0.842], [0.357, 0.842, 0.357], [0.643, 0.158, 0.643]]}

***

{"formula": "TlCd6", "functional": "PBE", "state": "relaxed", "e_form_mev_per_atom": 444, "space_group": "No. 221", "cell": [[-3.719, -2.434, -5.335], [-0.317, -6.225, 3.061], [-5.856, 1.883, 3.223]], "species": ["Tl", "Cd", "Cd", "Cd", "Cd", "Cd", "Cd"], "frac_coords": [[0.000, 0.000, 0.000], [0.195, 0.500, 0.500], [0.500, 0.500, 0.805], [0.500, 0.500, 0.195], [0.500, 0.195, 0.500], [0.500, 0.805, 0.500], [0.805, 0.500, 0.500]]}

***

{"formula": "TlCd4", "functional": "PBE", "state": "relaxed", "e_form_mev_per_atom": 361, "space_group": "No. 221", "cell": [[5.724, 0.000, 0.000], [0.000, 5.724, 0.000], [0.000, 0.000, 5.724]], "species": ["Tl", "Cd", "Cd", "Cd", "Cd"], "frac_coords": [[0.500, 0.500, 0.500], [0.000, 0.000, 0.000], [0.500, 0.000, 0.500], [0.000, 0.500, 0.500], [0.500, 0.500, 0.000]]}

***

The records above give, respectively, V values of 209.6 670.7 109.3 132.6 494.3 467.3 334.9 187.5 Å³ per cell.